Run one
Compound: SiAg2Br
Source: Alexandria via LeMat-Bulk
Functional: PBE-GGA
Structure: optimized geometry

Results
As for the volume: 165.9 Å³ per cell.

a b c (Å): 4.147 4.147 9.649
angles (deg): 90.00 90.00 90.00
Fractional coordinates of all 8 atoms:
1 Si 0.000 0.000 0.000
2 Si 0.500 0.500 0.500
3 Ag 0.000 0.500 0.250
4 Ag 0.000 0.500 0.750
5 Ag 0.500 0.000 0.250
6 Ag 0.500 0.000 0.750
7 Br 0.000 0.000 0.500
8 Br 0.500 0.500 0.000


Run two
Compound: SiAg2Br
Source: Alexandria via LeMat-Bulk
Functional: PBE-GGA
Structure: optimized geometry

Results
As for the volume: 168.1 Å³ per cell.

a b c (Å): 3.706 5.692 7.970
angles (deg): 90.00 90.00 90.00
Fractional coordinates of all 8 atoms:
1 Si 0.000 0.000 0.000
2 Si 0.500 0.500 0.000
3 Ag 0.000 0.500 0.228
4 Ag 0.000 0.500 0.772
5 Ag 0.500 0.000 0.228
6 Ag 0.500 0.000 0.772
7 Br 0.000 0.000 0.500
8 Br 0.500 0.500 0.500


Q: Which of them is the least stable? A: run one.


Run one
Compound: SmAg2Br6
Source: Alexandria via LeMat-Bulk
Functional: PBE-GGA
Structure: optimized geometry

Results
As for the volume: 309.1 Å³ per cell.

a b c (Å): 7.217 7.217 9.603
angles (deg): 106.47 106.47 40.40
Fractional coordinates of all 9 atoms:
1 Sm 0.000 0.000 0.000
2 Ag 0.194 0.194 0.639
3 Ag 0.806 0.806 0.361
4 Br 0.021 0.021 0.720
5 Br 0.297 0.297 0.422
6 Br 0.363 0.363 0.924
7 Br 0.637 0.637 0.076
8 Br 0.703 0.703 0.578
9 Br 0.979 0.979 0.280


Run two
Compound: SmAg2Br6
Source: Alexandria via LeMat-Bulk
Functional: PBE-GGA
Structure: optimized geometry

Results
As for the volume: 355.7 Å³ per cell.

a b c (Å): 9.613 9.613 9.316
angles (deg): 99.30 99.30 24.77
Fractional coordinates of all 9 atoms:
1 Sm 0.000 0.000 0.000
2 Ag 0.191 0.191 0.337
3 Ag 0.809 0.809 0.663
4 Br 0.052 0.052 0.309
5 Br 0.227 0.227 0.679
6 Br 0.399 0.399 0.042
7 Br 0.601 0.601 0.958
8 Br 0.773 0.773 0.321
9 Br 0.948 0.948 0.691


Q: Which of them is the least stable? A: run one.